1.
First-principles (GGA-PBE) data for a relaxed Li2PrNpCl8 crystal, as listed in Alexandria.

Computed properties:
V: 27.88 A^3/atom
Crystal system: triclinic
Uncorrected formation energy: -1.884 eV/atom
Spin magnetization: 4.0 μB per cell

Lattice parameters (Å, degrees): 6.315 6.392 8.299 90.31 90.30 92.71
Fractional positions:
Li 0.002 0.002 0.255
Li 0.998 0.998 0.745
Pr 0.500 0.500 0.500
Np 0.500 0.500 0.000
Cl 0.198 0.179 0.502
Cl 0.202 0.184 0.006
Cl 0.287 0.688 0.247
Cl 0.290 0.691 0.753
Cl 0.710 0.309 0.247
Cl 0.713 0.312 0.753
Cl 0.798 0.816 0.994
Cl 0.802 0.821 0.498

2.
First-principles (GGA-PBE) data for a relaxed PmNbIrRu crystal, as listed in Alexandria.

Computed properties:
V: 18.62 A^3/atom
Crystal system: cubic
Formation energy: -15.24 kJ/mol of atoms
Spin magnetization: 0.0 μB per cell

Lattice parameters (Å, degrees): 4.723 4.723 4.723 60.00 60.00 60.00
Fractional positions:
Pm 0.000 0.000 0.000
Nb 0.500 0.500 0.500
Ir 0.750 0.750 0.750
Ru 0.250 0.250 0.250

3.
First-principles (GGA-PBE) data for a relaxed Li2AgOs crystal, as listed in Alexandria.

Computed properties:
Relative energy among the computed polymorphs: 479 meV per atom
V: 14.30 A^3/atom
Crystal system: tetragonal
Formation energy: 53.72 kJ/mol of atoms
Spin magnetization: 0.9 μB per cell

Lattice parameters (Å, degrees): 4.912 4.912 4.912 135.59 135.59 64.61
Fractional positions:
Li 0.000 0.000 0.000
Li 0.750 0.250 0.500
Ag 0.500 0.500 0.000
Os 0.250 0.750 0.500

4.
First-principles (GGA-PBE) data for a relaxed Sr3Pu2NpAs6 crystal, as listed in Alexandria.

Computed properties:
V: 27.97 A^3/atom
Crystal system: monoclinic
Formation energy: -95.21 kJ/mol of atoms
Spin magnetization: 11.0 μB per cell

Lattice parameters (Å, degrees): 7.408 7.408 7.481 99.50 99.50 120.00
Fractional positions:
Sr 0.000 0.000 0.000
Sr 0.332 0.668 0.000
Sr 0.668 0.332 0.000
Pu 0.167 0.833 0.500
Pu 0.833 0.167 0.500
Np 0.500 0.500 0.500
As 0.100 0.429 0.286
As 0.243 0.243 0.713
As 0.429 0.100 0.286
As 0.571 0.900 0.714
As 0.757 0.757 0.287
As 0.900 0.571 0.714